Entry 1:
First-principles (PBE-GGA) data for crystalline CdCuSnPt at its relaxed geometry, as listed in the Open Quantum Materials Database.

Results
The density is 11.45 g/cm3. The total DFT energy (no corrections) is -3.808 eV/atom. As for the size of the total moment: 0.0 μB per formula unit. Its relative energy among the computed polymorphs is 0.00 kcal/mol of atoms.

Cell: 6.575 6.575 6.575 Å, 90.00 90.00 90.00°
Space group F-43m (No. 216)
Symmetry-distinct sites (fractional):
Cd1 0.000 0.000 0.000 x4
Cu1 0.250 0.250 0.750 x4
Sn1 0.000 0.000 0.500 x4
Pt1 0.250 0.250 0.250 x4

Entry 2:
First-principles (PBE-GGA) data for crystalline TaCdCuPt at its relaxed geometry, as listed in the Open Quantum Materials Database.

Results
The density is 14.30 g/cm3. The total DFT energy (no corrections) is -5.487 eV/atom. As for the size of the total moment: 0.0 μB per formula unit. Its relative energy among the computed polymorphs is 6.92 kcal/mol of atoms.

Cell: 6.353 6.353 6.353 Å, 90.00 90.00 90.00°
Space group F-43m (No. 216)
Symmetry-distinct sites (fractional):
Ta1 0.000 0.000 0.000 x4
Cd1 0.250 0.250 0.750 x4
Cu1 0.250 0.250 0.250 x4
Pt1 0.000 0.000 0.500 x4

Entry 3:
First-principles (PBE-GGA) data for crystalline TaCdCuPt at its relaxed geometry, as listed in the Open Quantum Materials Database.

Results
The density is 14.09 g/cm3. The total DFT energy (no corrections) is -5.660 eV/atom. As for the size of the total moment: 0.0 μB per formula unit. Its relative energy among the computed polymorphs is 2.94 kcal/mol of atoms.

Cell: 6.384 6.384 6.384 Å, 90.00 90.00 90.00°
Space group F-43m (No. 216)
Symmetry-distinct sites (fractional):
Ta1 0.000 0.000 0.000 x4
Cd1 0.250 0.250 0.250 x4
Cu1 0.000 0.000 0.500 x4
Pt1 0.250 0.250 0.750 x4

Entry 4:
First-principles (PBE-GGA) data for crystalline TlCdCuPt at its relaxed geometry, as listed in the Open Quantum Materials Database.

Results
The density is 13.25 g/cm3. The total DFT energy (no corrections) is -3.220 eV/atom. As for the size of the total moment: 0.0 μB per formula unit. Its relative energy among the computed polymorphs is 0.00 kcal/mol of atoms.

Cell: 6.607 6.607 6.607 Å, 90.00 90.00 90.00°
Space group F-43m (No. 216)
Symmetry-distinct sites (fractional):
Tl1 0.000 0.000 0.000 x4
Cd1 0.000 0.000 0.500 x4
Cu1 0.250 0.250 0.250 x4
Pt1 0.250 0.250 0.750 x4

Entry 5:
First-principles (PBE-GGA) data for crystalline CdCu2ReSe4 at its relaxed geometry, as listed in the Open Quantum Materials Database.

Results
The density is 6.57 g/cm3. The total DFT energy (no corrections) is -4.415 eV/atom. As for the size of the total moment: 0.3 μB per formula unit.

Cell: 5.851 5.851 10.941 Å, 90.00 90.00 90.00°
Space group I-42m (No. 121)
Symmetry-distinct sites (fractional):
Cd1 0.000 0.000 0.000 x2
Cu1 0.000 0.500 0.250 x4
Re1 0.000 0.000 0.500 x2
Se1 0.226 0.226 0.365 x8

Entry 6:
First-principles (PBE-GGA) data for crystalline CdCuReSi at its relaxed geometry, as listed in the Open Quantum Materials Database.

Results
The density is 10.94 g/cm3. The total DFT energy (no corrections) is -5.120 eV/atom. As for the size of the total moment: 0.0 μB per formula unit. Its relative energy among the computed polymorphs is 0.00 kcal/mol of atoms.

Cell: 6.187 6.187 6.187 Å, 90.00 90.00 90.00°
Space group F-43m (No. 216)
Symmetry-distinct sites (fractional):
Cd1 0.000 0.000 0.000 x4
Cu1 0.250 0.250 0.750 x4
Re1 0.250 0.250 0.250 x4
Si1 0.000 0.000 0.500 x4

Entry 7:
First-principles (PBE-GGA) data for crystalline CdCuReSn at its relaxed geometry, as listed in the Open Quantum Materials Database.

Results
The density is 11.60 g/cm3. The total DFT energy (no corrections) is -4.679 eV/atom. As for the size of the total moment: 0.0 μB per formula unit. Its relative energy among the computed polymorphs is 0.00 kcal/mol of atoms.

Cell: 6.505 6.505 6.505 Å, 90.00 90.00 90.00°
Space group F-43m (No. 216)
Symmetry-distinct sites (fractional):
Cd1 0.000 0.000 0.000 x4
Cu1 0.250 0.250 0.750 x4
Re1 0.250 0.250 0.250 x4
Sn1 0.000 0.000 0.500 x4

Entry 8:
First-principles (PBE-GGA) data for crystalline CdCu2S3 at its relaxed geometry, as listed in the Open Quantum Materials Database.

Results
The density is 4.60 g/cm3. The total DFT energy (no corrections) is -3.739 eV/atom. Its relative energy among the computed polymorphs is 0.00 kcal/mol of atoms.

Cell: 3.854 11.615 5.411 Å, 90.00 90.00 90.00°
Space group Imm2 (No. 44)
Symmetry-distinct sites (fractional):
Cd1 0.000 0.000 0.000 x2
Cu1 0.000 0.330 0.017 x4
S1 0.000 0.183 0.737 x4
S2 0.000 0.500 0.809 x2